# Ca2AsPt, relaxed, DFT GGA-PBE
data_Ca2AsPt
_chemical_formula_sum 'Ca4 As2 Pt2'
_cell_length_a 4.939
_cell_length_b 5.235
_cell_length_c 8.064
_cell_angle_alpha 90.00
_cell_angle_beta 90.00
_cell_angle_gamma 90.00
_symmetry_space_group_name_H-M 'C m m 2'
_symmetry_Int_Tables_number 35
loop_
_symmetry_equiv_pos_as_xyz
'x,y,z'
'-x,-y,z'
'-x,y,z'
'x,-y,z'
'x+1/2,y+1/2,z'
'-x+1/2,-y+1/2,z'
'-x+1/2,y+1/2,z'
'x+1/2,-y+1/2,z'
loop_
_atom_site_label
_atom_site_type_symbol
_atom_site_fract_x
_atom_site_fract_y
_atom_site_fract_z
Ca1 Ca 0.000 0.000 0.000
Ca2 Ca 0.000 0.500 0.392
As1 As 0.000 0.500 0.748
Pt1 Pt 0.000 0.000 0.639
# Energy: -4.123 eV per atom
# Energy of formation from the pure elements: -0.449 eV per atom

---

# BaNaSnB2, relaxed, DFT GGA-PBE
data_BaNaSnB2
_chemical_formula_sum 'Ba1 Na1 Sn1 B2'
_cell_length_a 5.026
_cell_length_b 5.026
_cell_length_c 5.743
_cell_angle_alpha 90.00
_cell_angle_beta 90.00
_cell_angle_gamma 90.00
_symmetry_space_group_name_H-M 'P 4/m m m'
_symmetry_Int_Tables_number 123
_symmetry_space_group_name_Hall '-P 4 2'
loop_
_atom_site_label
_atom_site_type_symbol
_atom_site_fract_x
_atom_site_fract_y
_atom_site_fract_z
Ba1 Ba 0.000 0.000 0.000
Na1 Na 0.000 0.000 0.500
Sn1 Sn 0.500 0.500 0.500
B1 B 0.000 0.500 0.000
# Energy: -2.205 eV per atom
# Energy of formation from the pure elements: 1.915 eV per atom

---

# TbPm4Nd2Ho2, relaxed, DFT GGA-PBE
data_TbPm4Nd2Ho2
_chemical_formula_sum 'Tb2 Pm8 Nd4 Ho4'
_cell_length_a 15.379
_cell_length_b 5.126
_cell_length_c 8.072
_cell_angle_alpha 90.00
_cell_angle_beta 108.56
_cell_angle_gamma 90.00
_symmetry_space_group_name_H-M 'C 1 2/m 1'
_symmetry_Int_Tables_number 12
loop_
_symmetry_equiv_pos_as_xyz
'x,y,z'
'-x,-y,-z'
'-x,y,-z'
'x,-y,z'
'x+1/2,y+1/2,z'
'-x+1/2,-y+1/2,-z'
'-x+1/2,y+1/2,-z'
'x+1/2,-y+1/2,z'
loop_
_atom_site_label
_atom_site_type_symbol
_atom_site_fract_x
_atom_site_fract_y
_atom_site_fract_z
Tb1 Tb 0.000 0.000 0.000
Pm1 Pm 0.055 0.500 0.331
Pm2 Pm 0.222 0.000 0.331
Nd1 Nd 0.112 0.000 0.669
Ho1 Ho 0.167 0.500 0.000
# Energy: -4.684 eV per atom
# Energy of formation from the pure elements: 0.018 eV per atom

---

# Pm3Er4Tm3, relaxed, DFT GGA-PBE
data_Pm3Er4Tm3
_chemical_formula_sum 'Pm6 Er8 Tm6'
_cell_length_a 3.658
_cell_length_b 13.181
_cell_length_c 13.248
_cell_angle_alpha 90.00
_cell_angle_beta 90.00
_cell_angle_gamma 90.00
_symmetry_space_group_name_H-M 'A m m 2'
_symmetry_Int_Tables_number 38
loop_
_symmetry_equiv_pos_as_xyz
'x,y,z'
'-x,-y,z'
'-x,y,z'
'x,-y,z'
'x,y+1/2,z+1/2'
'-x,-y+1/2,z+1/2'
'-x,y+1/2,z+1/2'
'x,-y+1/2,z+1/2'
loop_
_atom_site_label
_atom_site_type_symbol
_atom_site_fract_x
_atom_site_fract_y
_atom_site_fract_z
Pm1 Pm 0.000 0.000 0.000
Pm2 Pm 0.000 0.174 0.672
Er1 Er 0.500 0.000 0.546
Er2 Er 0.500 0.000 0.799
Er3 Er 0.500 0.125 0.175
Tm1 Tm 0.000 0.000 0.346
Tm2 Tm 0.500 0.246 0.421
# Energy: -4.492 eV per atom
# Energy of formation from the pure elements: 0.100 eV per atom

---

Q: energy of number 2 (BaNaSnB2)?
A: -2.205 eV per atom

---

Copy entry 2 word for word.
# BaNaSnB2, relaxed, DFT GGA-PBE
data_BaNaSnB2
_chemical_formula_sum 'Ba1 Na1 Sn1 B2'
_cell_length_a 5.026
_cell_length_b 5.026
_cell_length_c 5.743
_cell_angle_alpha 90.00
_cell_angle_beta 90.00
_cell_angle_gamma 90.00
_symmetry_space_group_name_H-M 'P 4/m m m'
_symmetry_Int_Tables_number 123
_symmetry_space_group_name_Hall '-P 4 2'
loop_
_atom_site_label
_atom_site_type_symbol
_atom_site_fract_x
_atom_site_fract_y
_atom_site_fract_z
Ba1 Ba 0.000 0.000 0.000
Na1 Na 0.000 0.000 0.500
Sn1 Sn 0.500 0.500 0.500
B1 B 0.000 0.500 0.000
# Energy: -2.205 eV per atom
# Energy of formation from the pure elements: 1.915 eV per atom